Computed, not measured: a relaxed structure of Rb2AcMo2O7 at the PBE with a Hubbard U level of DFT.

Calculated values
Symmetry: Fmmm (69)
Density of states at the Fermi level, states/eV/f.u.: 1.776
Total energy, eV/atom: -6.67
Spin magnetization, μB per cell: 3.00

Cell: 11.521 11.511 4.146 Å, 79.76 79.50 20.74°
Atoms (fractional coordinates):
Rb: 0.189 0.189 0.811
Rb: 0.811 0.811 0.189
Ac: 0.000 0.000 0.000
Mo: 0.407 0.407 0.593
Mo: 0.593 0.593 0.407
O: 0.081 0.081 0.419
O: 0.324 0.324 0.676
O: 0.419 0.419 0.081
O: 0.500 0.500 0.500
O: 0.581 0.581 0.919
O: 0.676 0.676 0.324
O: 0.919 0.919 0.581